# 1
A plane-wave DFT calculation with PBE was carried out for RbAlAg2 after structural relaxation.

Results
As for the total magnetization: 0.000 μB per atom. The space-group type is No. 141. The energy of formation from the pure elements is 63.5 kJ/mol of formula units.

The structure in POSCAR format:
```
RbAlAg2
1.0
5.586 0.000 0.000
0.000 5.586 0.000
2.793 2.793 8.728
Al Rb Ag
2 2 4
direct
0.250 0.750 0.500
0.500 0.500 0.000
0.750 0.250 0.500
0.000 0.000 0.000
0.375 0.125 0.250
0.875 0.625 0.750
0.375 0.625 0.750
0.375 0.625 0.250
```


# 2
A plane-wave DFT calculation with PBE was carried out for CeGa8Pd3 after structural relaxation.

Results
As for the total magnetization: 0.058 μB per atom. The space-group type is No. 166. The energy of formation from the pure elements is -638.0 kJ/mol of formula units.

The structure in POSCAR format:
```
CeGa8Pd3
1.0
8.537 0.010 0.010
0.041 8.537 0.010
0.041 0.041 8.537
Pd Ga Ce
9 24 3
direct
0.839 0.839 0.839
0.000 0.337 0.663
0.337 0.663 0.000
0.663 0.000 0.337
0.500 0.500 0.500
0.663 0.337 0.000
0.161 0.161 0.161
0.337 0.000 0.663
0.000 0.663 0.337
0.500 0.739 0.261
0.267 0.267 0.515
0.857 0.161 0.161
0.261 0.500 0.739
0.143 0.839 0.839
0.644 0.644 0.989
0.733 0.733 0.485
0.267 0.515 0.267
0.161 0.161 0.857
0.739 0.500 0.261
0.485 0.733 0.733
0.011 0.356 0.356
0.739 0.261 0.500
0.733 0.485 0.733
0.500 0.261 0.739
0.515 0.267 0.267
0.839 0.143 0.839
0.161 0.857 0.161
0.356 0.356 0.011
0.839 0.839 0.143
0.644 0.989 0.644
0.356 0.011 0.356
0.261 0.739 0.500
0.989 0.644 0.644
0.000 0.500 0.000
0.500 0.000 0.000
0.000 0.000 0.500
```


# 3
A plane-wave DFT calculation with PBE was carried out for DyTm5Te4 after structural relaxation.

Results
As for the total magnetization: 0.000 μB per atom. The space-group type is No. 59. The calculation puts the uncorrected formation energy at -702 meV per atom.

The structure in POSCAR format:
```
DyTm5Te4
1.0
-4.852 5.636 0.348
-6.849 -5.942 0.744
0.880 0.172 9.479
Tm Te Dy
10 8 2
direct
0.229 0.812 0.811
0.771 0.688 0.689
0.229 0.188 0.811
0.218 0.000 0.500
0.229 0.188 0.189
0.782 0.500 0.000
0.771 0.688 0.311
0.771 0.312 0.311
0.771 0.312 0.689
0.229 0.812 0.189
0.446 0.267 0.500
0.554 0.767 0.000
0.906 0.000 0.305
0.554 0.233 0.000
0.094 0.500 0.805
0.446 0.733 0.500
0.906 0.000 0.695
0.094 0.500 0.195
0.145 0.500 0.500
0.855 0.000 0.000
```


# 4
A plane-wave DFT calculation with PBE was carried out for RbBa2Mn after structural relaxation.

Results
As for the total magnetization: 0.000 μB per atom. The space-group type is No. 122. The energy of formation from the pure elements is 358.1 kJ/mol of formula units.

The structure in POSCAR format:
```
RbBa2Mn
1.0
8.650 0.000 0.000
0.000 8.650 0.000
4.325 4.325 6.117
Rb Mn Ba
2 2 4
direct
0.000 0.000 0.000
0.750 0.250 0.500
0.250 0.750 0.500
0.500 0.500 0.000
0.875 0.626 0.750
0.376 0.125 0.250
0.375 0.624 0.750
0.374 0.625 0.250
```


# 5
A plane-wave DFT calculation with PBE was carried out for MgRuRh2 after structural relaxation.

Results
As for the total magnetization: 0.000 μB per atom. The space-group type is No. 8. The energy of formation from the pure elements is -47.8 kJ/mol of formula units.

The structure in POSCAR format:
```
MgRuRh2
1.0
-2.685 3.973 0.117
-4.162 2.043 -1.229
-2.512 -0.783 3.879
Rh Mg Ru
2 1 1
direct
0.008 0.008 0.023
0.749 0.749 0.717
0.254 0.254 0.222
0.489 0.489 0.538
```


# 6
A plane-wave DFT calculation with PBE was carried out for BeGa2Tc after structural relaxation.

Results
As for the total magnetization: 0.000 μB per atom. The space-group type is No. 166. The energy of formation from the pure elements is 114.1 kJ/mol of formula units.

The structure in POSCAR format:
```
BeGa2Tc
1.0
2.883 0.000 0.000
1.441 2.496 0.000
1.441 0.832 8.649
Ga Be Tc
2 1 1
direct
0.088 0.088 0.737
0.912 0.912 0.263
0.000 0.000 0.000
0.500 0.500 0.500
```


Number 1: N(E_F) 5.07 states/eV/cell. Number 2: N(E_F) 20.24 states/eV/cell. Number 3: N(E_F) 22.65 states/eV/cell. Number 4: N(E_F) 13.37 states/eV/cell. Number 5: N(E_F) 4.38 states/eV/cell. Number 6: N(E_F) 2.92 states/eV/cell.